# LaInTc2

A relaxed LaInTc2 crystal (PBE, Alexandria).

a b c (Å): 5.9568 5.9568 4.8881
angles (deg): 66.51 66.51 31.38
Positions (direct):
In 0.4756 0.4756 0.5284
La 0.2641 0.2641 0.2329
Tc 0.0345 0.0345 0.9702
Tc 0.7258 0.7258 0.7686

=====

# Ac3CeGa3

A relaxed Ac3CeGa3 crystal (PBE, Alexandria).

a b c (Å): 7.9314 7.9314 7.5330
angles (deg): 91.14 91.14 101.65
Last column: magnetic moment on the atom in μB.
Positions (direct):
Ac 0.6597 0.6597 0.3575  0.03
Ac 0.1496 0.8504 0.5000  -0.01
Ac 0.8504 0.1496 0.5000  -0.01
Ac 0.2526 0.7474 0.0000  0.01
Ac 0.7474 0.2526 0.0000  0.01
Ac 0.3403 0.3403 0.6425  0.03
Ce 0.7399 0.7399 0.8521  0.75
Ce 0.2601 0.2601 0.1479  0.75
Ga 0.9476 0.9476 0.1540  0.00
Ga 0.9455 0.5162 0.6764  0.00
Ga 0.5162 0.9455 0.6764  0.00
Ga 0.0545 0.4838 0.3236  0.00
Ga 0.4838 0.0545 0.3236  0.00
Ga 0.0524 0.0524 0.8460  0.00

=====

# Tb3Cd

A relaxed Tb3Cd crystal (PBE, Alexandria).

a b c (Å): 5.4535 5.4535 5.4535
angles (deg): 60.00 60.00 60.00
Positions (direct):
Tb 0.0000 0.0000 0.0000
Tb 0.7500 0.7500 0.7500
Tb 0.2500 0.2500 0.2500
Cd 0.5000 0.5000 0.5000

=====

Summary of energy relative to the elements in eV per formula unit
0.93, -1.77, -0.07
(order as listed above)